(1)
Entry from the Alexandria database: a relaxed ReNiGe2Mo crystal (PBE).

a = 4.730 Å, b = 4.891 Å, c = 4.730 Å
α = 90.00°, β = 90.00°, γ = 90.00°
Atoms (fractional coordinates):
Re 0.000 0.000 0.000
Mo 0.000 0.500 0.000
Ge 0.000 0.000 0.500
Ge 0.500 0.000 0.000
Ni 0.500 0.500 0.500

Properties
DFT formation energy (kJ per mole of atoms): 122.43
Total DFT energy (no corrections) (eV for the cell shown): -32.0

(2)
Entry from the Alexandria database: a relaxed NiGeMoRu crystal (PBE).

a = 4.259 Å, b = 4.259 Å, c = 4.259 Å
α = 60.00°, β = 60.00°, γ = 60.00°
Atoms (fractional coordinates):
Ru 0.500 0.500 0.500
Mo 0.000 0.000 0.000
Ge 0.250 0.250 0.250
Ni 0.750 0.750 0.750

Properties
DFT formation energy (kJ per mole of atoms): -4.28
Total DFT energy (no corrections) (eV for the cell shown): -30.7

Q: What is the formula in the first record?
A: ReNiGe2Mo